--- w ---
AcDyNi4 | PBE | relaxed

Calculated values
**Fermi-level density of states**: 0.66 states/eV/atom

```
data_AcDyNi4
_cell_length_a 7.363
_cell_length_b 7.363
_cell_length_c 7.363
_cell_angle_alpha 90.00
_cell_angle_beta 90.00
_cell_angle_gamma 90.00
_symmetry_space_group_name_H-M 'F -4 3 m'
_symmetry_Int_Tables_number 216
_symmetry_space_group_name_Hall 'F -4 2 3'
loop_
_atom_site_label
_atom_site_type_symbol
_atom_site_fract_x
_atom_site_fract_y
_atom_site_fract_z
Ac1 Ac 0.000 0.000 0.000
Dy1 Dy 0.250 0.250 0.750
Ni1 Ni 0.124 0.124 0.376
```

---

--- x ---
AcDyNi4 | PBE | relaxed

Calculated values
**Fermi-level density of states**: 0.80 states/eV/atom

```
data_AcDyNi4
_cell_length_a 5.1869
_cell_length_b 5.1869
_cell_length_c 8.6918
_cell_angle_alpha 90.00
_cell_angle_beta 90.00
_cell_angle_gamma 120.00
_symmetry_space_group_name_H-M 'P -3 m 1'
_symmetry_Int_Tables_number 164
_symmetry_space_group_name_Hall '-P 3 2"'
loop_
_atom_site_label
_atom_site_type_symbol
_atom_site_fract_x
_atom_site_fract_y
_atom_site_fract_z
Ac1 Ac 0.3333 0.6667 0.0817
Dy1 Dy 0.3333 0.6667 0.4503
Ni1 Ni 0.0000 0.0000 0.0000
Ni2 Ni 0.0000 0.0000 0.5000
Ni3 Ni 0.1638 0.3276 0.7336
```

---

Most stable: w (next structure +13 meV per atom)

---

--- w ---
AcDyNi2 | PBE | relaxed

Calculated values
**Fermi-level density of states**: 0.60 states/eV/atom

```
data_AcDyNi2
_cell_length_a 4.5883
_cell_length_b 4.5883
_cell_length_c 15.3507
_cell_angle_alpha 90.00
_cell_angle_beta 90.00
_cell_angle_gamma 120.00
_symmetry_space_group_name_H-M 'R -3 m'
_symmetry_Int_Tables_number 166
_symmetry_space_group_name_Hall '-R 3 2"'
loop_
_atom_site_label
_atom_site_type_symbol
_atom_site_fract_x
_atom_site_fract_y
_atom_site_fract_z
Ac1 Ac 0.0000 0.0000 0.0000
Dy1 Dy 0.0000 0.0000 0.5000
Ni1 Ni 0.0000 0.0000 0.2130
```

---

--- x ---
AcDyNi2 | PBE | relaxed

Calculated values
**Fermi-level density of states**: 0.94 states/eV/atom

```
data_AcDyNi2
_cell_length_a 3.545
_cell_length_b 3.545
_cell_length_c 6.981
_cell_angle_alpha 90.00
_cell_angle_beta 90.00
_cell_angle_gamma 90.00
_symmetry_space_group_name_H-M 'P 4/m m m'
_symmetry_Int_Tables_number 123
_symmetry_space_group_name_Hall '-P 4 2'
loop_
_atom_site_label
_atom_site_type_symbol
_atom_site_fract_x
_atom_site_fract_y
_atom_site_fract_z
Ac1 Ac 0.000 0.000 0.000
Dy1 Dy 0.000 0.000 0.500
Ni1 Ni 0.500 0.500 0.290
```

---

--- y ---
AcDyNi2 | PBE | relaxed

Calculated values
**Fermi-level density of states**: 1.02 states/eV/atom

```
data_AcDyNi2
_cell_length_a 7.075
_cell_length_b 7.075
_cell_length_c 7.075
_cell_angle_alpha 90.00
_cell_angle_beta 90.00
_cell_angle_gamma 90.00
_symmetry_space_group_name_H-M 'F m -3 m'
_symmetry_Int_Tables_number 225
_symmetry_space_group_name_Hall '-F 4 2 3'
loop_
_atom_site_label
_atom_site_type_symbol
_atom_site_fract_x
_atom_site_fract_y
_atom_site_fract_z
Ac1 Ac 0.000 0.000 0.000
Dy1 Dy 0.000 0.000 0.500
Ni1 Ni 0.250 0.250 0.250
```

---

Most stable: w (next structure +13 meV per atom)

---

--- w ---
AcDyNi | PBE | relaxed

Calculated values
**Fermi-level density of states**: 1.06 states/eV/atom

```
data_AcDyNi
_cell_length_a 7.057
_cell_length_b 7.057
_cell_length_c 7.057
_cell_angle_alpha 90.00
_cell_angle_beta 90.00
_cell_angle_gamma 90.00
_symmetry_space_group_name_H-M 'F -4 3 m'
_symmetry_Int_Tables_number 216
_symmetry_space_group_name_Hall 'F -4 2 3'
loop_
_atom_site_label
_atom_site_type_symbol
_atom_site_fract_x
_atom_site_fract_y
_atom_site_fract_z
Ac1 Ac 0.000 0.000 0.000
Dy1 Dy 0.000 0.000 0.500
Ni1 Ni 0.250 0.250 0.250
```

---

--- x ---
AcDyNi | PBE | relaxed

Calculated values
**Fermi-level density of states**: 1.24 states/eV/atom

```
data_AcDyNi
_cell_length_a 3.752
_cell_length_b 6.728
_cell_length_c 14.785
_cell_angle_alpha 90.00
_cell_angle_beta 90.00
_cell_angle_gamma 90.00
_symmetry_space_group_name_H-M 'I m m m'
_symmetry_Int_Tables_number 71
_symmetry_space_group_name_Hall '-I 2 2'
loop_
_atom_site_label
_atom_site_type_symbol
_atom_site_fract_x
_atom_site_fract_y
_atom_site_fract_z
Ac1 Ac 0.000 0.000 0.134
Dy1 Dy 0.000 0.000 0.387
Ni1 Ni 0.000 0.319 0.000
```

---

--- y ---
AcDyNi | PBE | relaxed

Calculated values
**Fermi-level density of states**: 1.10 states/eV/atom

```
data_AcDyNi
_cell_length_a 4.0917
_cell_length_b 4.0917
_cell_length_c 6.4217
_cell_angle_alpha 90.00
_cell_angle_beta 90.00
_cell_angle_gamma 120.00
_symmetry_space_group_name_H-M 'P 3 m 1'
_symmetry_Int_Tables_number 156
loop_
_symmetry_equiv_pos_as_xyz
'x,y,z'
'-y,x-y,z'
'-x+y,-x,z'
'-y,-x,z'
'-x+y,y,z'
'x,x-y,z'
loop_
_atom_site_label
_atom_site_type_symbol
_atom_site_fract_x
_atom_site_fract_y
_atom_site_fract_z
Ac1 Ac 0.0000 0.0000 0.0000
Dy1 Dy 0.3333 0.6667 0.5170
Ni1 Ni 0.6667 0.3333 0.7303
```

---

Most stable: y (next structure +93 meV per atom)

---

--- w ---
AcDy2Os | PBE | relaxed

Calculated values
**Fermi-level density of states**: 1.46 states/eV/atom

```
data_AcDy2Os
_cell_length_a 3.8770
_cell_length_b 3.8770
_cell_length_c 32.2432
_cell_angle_alpha 90.00
_cell_angle_beta 90.00
_cell_angle_gamma 120.00
_symmetry_space_group_name_H-M 'R -3 m'
_symmetry_Int_Tables_number 166
_symmetry_space_group_name_Hall '-R 3 2"'
loop_
_atom_site_label
_atom_site_type_symbol
_atom_site_fract_x
_atom_site_fract_y
_atom_site_fract_z
Ac1 Ac 0.0000 0.0000 0.0000
Dy1 Dy 0.0000 0.0000 0.1176
Os1 Os 0.0000 0.0000 0.5000
```

---

--- x ---
AcDy2Os | PBE | relaxed

Calculated values
**Fermi-level density of states**: 0.73 states/eV/atom

```
data_AcDy2Os
_cell_length_a 3.494
_cell_length_b 3.494
_cell_length_c 9.526
_cell_angle_alpha 90.00
_cell_angle_beta 90.00
_cell_angle_gamma 90.00
_symmetry_space_group_name_H-M 'P 4/m m m'
_symmetry_Int_Tables_number 123
_symmetry_space_group_name_Hall '-P 4 2'
loop_
_atom_site_label
_atom_site_type_symbol
_atom_site_fract_x
_atom_site_fract_y
_atom_site_fract_z
Ac1 Ac 0.000 0.000 0.000
Dy1 Dy 0.500 0.500 0.330
Os1 Os 0.000 0.000 0.500
```

---

Most stable: x (next structure +305 meV per atom)

---

--- w ---
AcDyPb | PBE | relaxed

Calculated values
**Fermi-level density of states**: 1.15 states/eV/atom

```
data_AcDyPb
_cell_length_a 4.855
_cell_length_b 4.855
_cell_length_c 8.972
_cell_angle_alpha 90.00
_cell_angle_beta 90.00
_cell_angle_gamma 90.00
_symmetry_space_group_name_H-M 'P 4/n m m'
_symmetry_Int_Tables_number 129
loop_
_symmetry_equiv_pos_as_xyz
'x,y,z'
'-x,-y,-z'
'-y+1/2,x,z'
'y+1/2,-x,-z'
'-x+1/2,-y+1/2,z'
'x+1/2,y+1/2,-z'
'y,-x+1/2,z'
'-y,x+1/2,-z'
'x+1/2,-y,-z'
'-x+1/2,y,z'
'-y,-x,-z'
'y,x,z'
'-x,y+1/2,-z'
'x,-y+1/2,z'
'y+1/2,x+1/2,-z'
'-y+1/2,-x+1/2,z'
loop_
_atom_site_label
_atom_site_type_symbol
_atom_site_fract_x
_atom_site_fract_y
_atom_site_fract_z
Ac1 Ac 0.250 0.250 0.149
Dy1 Dy 0.250 0.750 0.500
Pb1 Pb 0.250 0.250 0.750
```

---

--- x ---
AcDyPb | PBE | relaxed

Calculated values
**Fermi-level density of states**: 0.39 states/eV/atom

```
data_AcDyPb
_cell_length_a 5.2551
_cell_length_b 5.2551
_cell_length_c 4.5266
_cell_angle_alpha 90.00
_cell_angle_beta 90.00
_cell_angle_gamma 120.00
_symmetry_space_group_name_H-M 'P -6 m 2'
_symmetry_Int_Tables_number 187
_symmetry_space_group_name_Hall 'P -6 2'
loop_
_atom_site_label
_atom_site_type_symbol
_atom_site_fract_x
_atom_site_fract_y
_atom_site_fract_z
Ac1 Ac 0.0000 0.0000 0.0000
Dy1 Dy 0.6667 0.3333 0.5000
Pb1 Pb 0.3333 0.6667 0.5000
```

---

--- y ---
AcDyPb | PBE | relaxed

Calculated values
**Fermi-level density of states**: 1.53 states/eV/atom

```
data_AcDyPb
_cell_length_a 4.220
_cell_length_b 4.220
_cell_length_c 11.362
_cell_angle_alpha 90.00
_cell_angle_beta 90.00
_cell_angle_gamma 90.00
_symmetry_space_group_name_H-M 'I 4 m m'
_symmetry_Int_Tables_number 107
_symmetry_space_group_name_Hall 'I 4 -2'
loop_
_atom_site_label
_atom_site_type_symbol
_atom_site_fract_x
_atom_site_fract_y
_atom_site_fract_z
Ac1 Ac 0.000 0.000 0.000
Dy1 Dy 0.000 0.000 0.302
Pb1 Pb 0.000 0.000 0.681
```

---

--- z ---
AcDyPb | PBE | relaxed

Calculated values
**Fermi-level density of states**: 1.40 states/eV/atom

```
data_AcDyPb
_cell_length_a 4.078
_cell_length_b 6.897
_cell_length_c 15.202
_cell_angle_alpha 90.00
_cell_angle_beta 90.00
_cell_angle_gamma 90.00
_symmetry_space_group_name_H-M 'I m m m'
_symmetry_Int_Tables_number 71
_symmetry_space_group_name_Hall '-I 2 2'
loop_
_atom_site_label
_atom_site_type_symbol
_atom_site_fract_x
_atom_site_fract_y
_atom_site_fract_z
Ac1 Ac 0.000 0.000 0.185
Dy1 Dy 0.000 0.249 0.500
Pb1 Pb 0.000 0.500 0.131
```

---

Most stable: w (next structure +131 meV per atom)